[1]
VASP calculation (PBE-GGA) on a relaxed Cs3Ce3AgS8 crystal.

Values from the calculation:
ΔE_f (raw): -1445 meV/atom
Density: 4.14 g cm⁻³
Fermi-level density of states: 0.140 states/eV per atom

Unit cell a=14.265 b=8.250 c=9.361 alpha=90.00 beta=120.50 gamma=90.00
Space group C2/m (No. 12)
One atom of each set of equivalent atoms:
Cs 0.000 0.000 0.000 x2
Cs 0.250 0.250 0.000 x4
Ce 0.000 0.500 0.500 x2
Ce 0.250 0.250 0.500 x4
Ag 0.000 0.000 0.500 x2
S 0.029 0.264 0.322 x8
S 0.228 0.500 0.684 x4
S 0.234 0.000 0.677 x4


[2]
VASP calculation (PBE-GGA) on a relaxed Cs2CeAgS4 crystal.

Values from the calculation:
ΔE_f (raw): -990 meV/atom
Density: 3.88 g cm⁻³
Fermi-level density of states: 0.609 states/eV per atom

Unit cell a=7.876 b=7.876 c=8.857 alpha=90.00 beta=90.00 gamma=90.00
Space group I-4 (No. 82)
One atom of each set of equivalent atoms:
Cs 0.000 0.000 0.000 x2
Cs 0.000 0.500 0.250 x2
Ce 0.000 0.500 0.750 x2
Ag 0.000 0.000 0.500 x2
S 0.147 0.260 0.596 x8


[3]
VASP calculation (PBE-GGA) on a relaxed Cs4Ce3AgSe8 crystal.

Values from the calculation:
ΔE_f (raw): -1370 meV/atom
Density: 5.08 g cm⁻³
Fermi-level density of states: 0.668 states/eV per atom

Unit cell a=8.6737 b=8.6737 c=8.4804 alpha=90.00 beta=90.00 gamma=120.00
Space group P-3m1 (No. 164)
One atom of each set of equivalent atoms:
Cs 0.0000 0.0000 0.0000 x1
Cs 0.0000 0.5000 0.0000 x3
Ce 0.0000 0.5000 0.5000 x3
Ag 0.0000 0.0000 0.5000 x1
Se 0.1724 0.3449 0.3160 x6
Se 0.3333 0.6667 0.6867 x2


Q: The highest ΔE_f (raw) belongs to which entry?
A: Cs2CeAgS4


Q: Which value of Fermi-level density of states does entry 1 give?
A: 0.140 states/eV per atom